{"formula": "SmEr5Al4", "functional": "PBE", "state": "optimized geometry", "lattice": [[3.5545, 0.0000, 0.0000], [0.0000, 3.5545, 0.0000], [0.0000, 0.0000, 19.5584]], "species": ["Sm", "Er", "Er", "Er", "Er", "Er", "Al", "Al", "Al", "Al"], "fractional_positions": [[0.0000, 0.0000, 0.0000], [0.5000, 0.5000, 0.1314], [0.5000, 0.5000, 0.3165], [0.5000, 0.5000, 0.5000], [0.5000, 0.5000, 0.6835], [0.5000, 0.5000, 0.8686], [0.0000, 0.0000, 0.2238], [0.0000, 0.0000, 0.4081], [0.0000, 0.0000, 0.5919], [0.0000, 0.0000, 0.7762]], "energy_ev_per_cell": -45.6, "formation_energy_kcal_per_mol_atoms": -7.22, "space_group": "P4/mmm (123)"}